Entry 1:
A relaxed SrTbCo crystal. Source: the Open Quantum Materials Database, functional PBE.

a b c (Å): 4.889 4.889 4.889
angles (deg): 60.00 60.00 60.00
Fractional coordinates of all 3 atoms:
Tb (0.750, 0.750, 0.750)
Co (0.000, 0.000, 0.000)
Sr (0.250, 0.250, 0.250)

Values from the calculation:
* crystal system: cubic
* raw total energy: -4.161 eV/atom


Entry 2:
A relaxed ZrOsNO crystal. Source: the Open Quantum Materials Database, functional PBE.

a b c (Å): 3.783 3.783 6.861
angles (deg): 90.00 90.00 90.00
Fractional coordinates of all 8 atoms:
N (0.250, 0.250, 0.648)
N (0.750, 0.750, 0.352)
Os (0.250, 0.750, 0.500)
Zr (0.250, 0.250, 0.160)
Zr (0.750, 0.750, 0.840)
O (0.750, 0.250, 0.000)
Os (0.750, 0.250, 0.500)
O (0.250, 0.750, 0.000)

Values from the calculation:
* crystal system: tetragonal
* raw total energy: -9.139 eV/atom


Entry 3:
A relaxed Hf2AlNi crystal. Source: the Open Quantum Materials Database, functional PBE.

a b c (Å): 4.616 4.616 4.616
angles (deg): 60.00 60.00 60.00
Last column: magnetic moment on the atom in μB.
Fractional coordinates of all 4 atoms:
Hf (0.000, 0.000, 0.000)  0.21
Hf (0.750, 0.750, 0.750)  0.33
Al (0.500, 0.500, 0.500)  0.00
Ni (0.250, 0.250, 0.250)  0.08

Values from the calculation:
* crystal system: cubic
* raw total energy: -7.238 eV/atom


Entry 4:
A relaxed KPrO3 crystal. Source: the Open Quantum Materials Database, functional PBE.

a b c (Å): 6.409 6.431 9.009
angles (deg): 90.00 90.00 90.00
Last column: magnetic moment on the atom in μB.
Fractional coordinates of all 20 atoms:
K (0.005, 0.972, 0.750)  0.00
O (0.920, 0.535, 0.750)  0.54
O (0.789, 0.786, 0.460)  0.60
O (0.289, 0.714, 0.540)  0.51
O (0.080, 0.465, 0.250)  0.54
O (0.420, 0.965, 0.250)  0.56
O (0.580, 0.035, 0.750)  0.56
Pr (0.500, 0.000, 0.000)  0.00
O (0.789, 0.786, 0.040)  0.59
O (0.711, 0.286, 0.040)  0.50
Pr (0.000, 0.500, 0.500)  0.01
O (0.211, 0.214, 0.540)  0.60
Pr (0.500, 0.000, 0.500)  0.00
K (0.495, 0.472, 0.750)  0.00
O (0.711, 0.286, 0.460)  0.51
Pr (0.000, 0.500, 0.000)  0.00
K (0.995, 0.028, 0.250)  0.00
K (0.505, 0.528, 0.250)  0.00
O (0.289, 0.714, 0.960)  0.50
O (0.211, 0.214, 0.960)  0.59

Values from the calculation:
* crystal system: orthorhombic
* raw total energy: -5.856 eV/atom


Entry 5:
A relaxed PrDy2Al7Ag2 crystal. Source: the Open Quantum Materials Database, functional PBE.

a b c (Å): 9.399 9.399 9.399
angles (deg): 34.64 34.64 34.64
Fractional coordinates of all 12 atoms:
Ag (0.664, 0.664, 0.664)
Al (0.500, 0.500, 0.500)
Dy (0.142, 0.142, 0.142)
Al (0.412, 0.412, 0.924)
Dy (0.858, 0.858, 0.858)
Al (0.588, 0.588, 0.076)
Al (0.412, 0.924, 0.412)
Al (0.076, 0.588, 0.588)
Ag (0.336, 0.336, 0.336)
Al (0.588, 0.076, 0.588)
Al (0.924, 0.412, 0.412)
Pr (0.000, 0.000, 0.000)

Values from the calculation:
* crystal system: trigonal
* raw total energy: -4.296 eV/atom


Entry 6:
A relaxed Hf2NbCu crystal. Source: the Open Quantum Materials Database, functional PBE.

a b c (Å): 4.682 4.682 4.682
angles (deg): 60.00 60.00 60.00
Fractional coordinates of all 4 atoms:
Nb (0.500, 0.500, 0.500)
Hf (0.000, 0.000, 0.000)
Cu (0.250, 0.250, 0.250)
Hf (0.750, 0.750, 0.750)

Values from the calculation:
* crystal system: cubic
* formation energy: 0.214 eV/atom


Entry 7:
A relaxed ScAg2Au2 crystal. Source: the Open Quantum Materials Database, functional PBE.

a b c (Å): 5.080 5.080 6.583
angles (deg): 129.45 129.45 47.66
Fractional coordinates of all 5 atoms:
Ag (0.802, 0.802, 0.404)
Ag (0.198, 0.198, 0.596)
Au (0.599, 0.599, 0.805)
Sc (0.000, 0.000, 0.000)
Au (0.401, 0.401, 0.195)

Values from the calculation:
* crystal system: monoclinic
* formation energy: -0.422 eV/atom


Entry 8:
A relaxed PmAs2O crystal. Source: the Open Quantum Materials Database, functional PBE.

a b c (Å): 4.337 4.337 8.477
angles (deg): 90.00 90.00 90.00
Fractional coordinates of all 8 atoms:
As (0.500, 0.000, 0.321)
Pm (0.000, 0.500, 0.115)
As (0.500, 0.500, 0.500)
O (0.000, 0.000, 0.000)
As (0.000, 0.000, 0.500)
As (0.000, 0.500, 0.679)
O (0.500, 0.500, 0.000)
Pm (0.500, 0.000, 0.885)

Values from the calculation:
* crystal system: tetragonal
* raw total energy: -6.084 eV/atom


Entry 9:
A relaxed Mg2AgBi2Au crystal. Source: the Open Quantum Materials Database, functional PBE.

a b c (Å): 8.236 4.751 15.753
angles (deg): 90.00 99.96 90.00
Fractional coordinates of all 24 atoms:
Bi (0.061, 0.000, 0.185)
Mg (0.926, 0.000, 0.808)
Ag (0.999, 0.000, 0.000)
Ag (0.999, 0.500, 0.499)
Mg (0.198, 0.500, 0.065)
Bi (0.309, 0.000, 0.937)
Au (0.250, 0.500, 0.250)
Ag (0.501, 0.000, 0.499)
Au (0.501, 0.500, 0.000)
Bi (0.812, 0.000, 0.438)
Bi (0.817, 0.500, 0.940)
Bi (0.066, 0.500, 0.688)
Mg (0.435, 0.000, 0.310)
Mg (0.678, 0.000, 0.062)
Bi (0.558, 0.000, 0.686)
Bi (0.564, 0.500, 0.188)
Mg (0.449, 0.500, 0.816)
Bi (0.314, 0.500, 0.439)
Au (0.750, 0.500, 0.751)
Au (0.750, 0.000, 0.250)
Ag (0.250, 0.000, 0.751)
Mg (0.938, 0.500, 0.310)
Mg (0.691, 0.500, 0.567)
Mg (0.185, 0.000, 0.561)

Values from the calculation:
* crystal system: monoclinic
* raw total energy: -3.112 eV/atom


Entry 10:
A relaxed RbTmAsO crystal. Source: the Open Quantum Materials Database, functional PBE.

a b c (Å): 4.751 8.109 6.741
angles (deg): 90.00 90.00 90.00
Last column: magnetic moment on the atom in μB.
Fractional coordinates of all 8 atoms:
Rb (0.000, 0.795, 0.943)  0.03
As (0.000, 0.781, 0.437)  0.37
As (0.000, 0.219, 0.937)  0.37
O (0.500, 0.415, 0.341)  0.03
Rb (0.000, 0.205, 0.443)  0.03
Tm (0.500, 0.614, 0.533)  0.02
Tm (0.500, 0.386, 0.033)  0.02
O (0.500, 0.585, 0.841)  0.03

Values from the calculation:
* crystal system: orthorhombic
* raw total energy: -5.242 eV/atom


Repeat the second record exactly.
A relaxed ZrOsNO crystal. Source: the Open Quantum Materials Database, functional PBE.

a b c (Å): 3.783 3.783 6.861
angles (deg): 90.00 90.00 90.00
Fractional coordinates of all 8 atoms:
N (0.250, 0.250, 0.648)
N (0.750, 0.750, 0.352)
Os (0.250, 0.750, 0.500)
Zr (0.250, 0.250, 0.160)
Zr (0.750, 0.750, 0.840)
O (0.750, 0.250, 0.000)
Os (0.750, 0.250, 0.500)
O (0.250, 0.750, 0.000)

Values from the calculation:
* crystal system: tetragonal
* raw total energy: -9.139 eV/atom